10
Lattice="5.727 0.177 -0.238 -3.327 8.648 0.502 -4.390 -4.107 10.725" Properties=species:S:1:pos:R:3 comment="RbTeI3 PBE optimized geometry" polymorph_energy_mev_per_atom=19 m_tot_mub_per_fu=0.00 dos_at_fermi_per_ev_cell=0.00 raw_formation_energy_ev_per_fu=-3.14 pbc="T T T"
Rb 1.640 -0.236 3.940
I -2.349 5.655 1.827
I -4.148 2.839 9.429
I -1.312 2.028 4.324
I -4.478 6.172 5.894
I 0.535 -0.857 7.698
Rb -1.442 4.307 7.219
Te -3.504 0.074 9.975
I 1.462 1.386 0.345
Te -0.569 3.463 1.658